(a)
The following is a PBE with a Hubbard U calculation of a relaxed structure of Li3Cr2P3O12, from Alexandria via LeMat-Bulk.

Unit cell a=14.3055 b=13.3815 c=9.7188 alpha=90.00 beta=95.18 gamma=90.00
Space group C2 (No. 5)
Inequivalent atoms, fractional coordinates:
Li: 0.1212 0.0000 0.0214 x4
Li: 0.1399 0.3109 0.6081 x4
Li: 0.1693 0.6200 0.5248 x4
Li: 0.1873 0.7811 0.1617 x4
Li: 0.2388 0.4785 0.7160 x4
Li: 0.2400 0.1837 0.1699 x4
Cr: 0.0000 0.4643 0.0000 x2
Cr: 0.0000 0.6808 0.0000 x2
Cr: 0.0000 0.7467 0.5000 x2
Cr: 0.0000 0.9639 0.5000 x2
Cr: 0.1062 0.0722 0.7204 x4
Cr: 0.1097 0.3572 0.2181 x4
P: 0.0103 0.5502 0.6973 x4
P: 0.0106 0.8755 0.1989 x4
P: 0.1096 0.2734 0.9015 x4
P: 0.1137 0.1514 0.4045 x4
P: 0.1993 0.5659 0.0720 x4
P: 0.1986 0.8623 0.5732 x4
O: 0.0219 0.5692 0.8621 x4
O: 0.0217 0.8598 0.3623 x4
O: 0.0252 0.3513 0.8756 x4
O: 0.0313 0.0720 0.3710 x4
O: 0.0322 0.7791 0.8636 x4
O: 0.0392 0.6437 0.3715 x4
O: 0.0576 0.4618 0.3346 x4
O: 0.0581 0.9637 0.8415 x4
O: 0.0719 0.1688 0.8587 x4
O: 0.0770 0.2528 0.3484 x4
O: 0.1087 0.5338 0.6539 x4
O: 0.1089 0.8981 0.1562 x4
O: 0.1317 0.9580 0.5845 x4
O: 0.1330 0.1654 0.5644 x4
O: 0.1333 0.4704 0.0786 x4
O: 0.1378 0.7649 0.5573 x4
O: 0.1388 0.6637 0.0641 x4
O: 0.1447 0.2686 0.0579 x4
O: 0.1845 0.3103 0.8105 x4
O: 0.2021 0.1145 0.3420 x4
O: 0.2384 0.0690 0.7910 x4
O: 0.2426 0.3506 0.2864 x4
O: 0.2453 0.3804 0.5498 x4
O: 0.2456 0.0575 0.0558 x4

---

(b)
The following is a PBE with a Hubbard U calculation of a relaxed structure of Li3Cr2P3O12, from Alexandria via LeMat-Bulk.

Unit cell a=8.4096 b=8.4096 c=22.5189 alpha=90.00 beta=90.00 gamma=120.00
Space group R-3 (No. 148, hexagonal axes)
Inequivalent atoms, fractional coordinates:
Li: 0.0204 0.6374 0.2153 x18
Cr: 0.0000 0.0000 0.1511 x6
Cr: 0.0000 0.0000 0.3555 x6
P: 0.0006 0.7111 0.7496 x18
O: 0.0016 0.8054 0.6925 x18
O: 0.0446 0.2105 0.5880 x18
O: 0.0906 0.2363 0.1976 x18
O: 0.0954 0.2302 0.8989 x18

---

Pick the most stable structure from those above. Pick: (b)